(1)
{
  "formula": "YAgBi2",
  "functional": "PBE",
  "state": "optimized geometry",
  "cell": [[-0.507, 0.550, -4.271], [3.991, -2.822, -0.838], [-2.886, -4.029, -0.176]],
  "species": ["Bi", "Bi", "Ag", "Y"],
  "frac_coords": [[0.000, 0.500, 0.000], [0.000, 0.000, 0.500], [0.500, 0.500, 0.500], [0.500, 0.000, 0.000]],
  "final_energy_ev_per_atom": -4.648,
  "crystal_system": "tetragonal",
  "m_tot_mub_per_fu": 0.00
}

(2)
{
  "formula": "YAgBi3",
  "functional": "PBE",
  "state": "optimized geometry",
  "cell": [[5.497, 0.000, 0.000], [0.000, 5.497, 0.000], [0.000, 0.000, 5.497]],
  "species": ["Y", "Bi", "Bi", "Bi", "Ag"],
  "frac_coords": [[0.500, 0.500, 0.500], [0.000, 0.500, 0.000], [0.000, 0.000, 0.500], [0.500, 0.000, 0.000], [0.000, 0.000, 0.000]],
  "e_above_lowest_polymorph_ev_per_atom": 0.000,
  "crystal_system": "cubic",
  "m_tot_mub_per_fu": 0.00
}

(3)
{
  "formula": "YAg2Bi",
  "functional": "PBE",
  "state": "optimized geometry",
  "cell": [[-0.005, -1.541, -4.069], [-3.143, -2.813, 1.069], [-9.136, 5.212, -4.289]],
  "species": ["Ag", "Bi", "Ag", "Bi", "Y", "Y", "Ag", "Ag"],
  "frac_coords": [[0.125, 0.625, 0.250], [0.750, 0.250, 0.500], [0.875, 0.875, 0.750], [0.000, 0.000, 0.000], [0.250, 0.750, 0.500], [0.500, 0.500, 0.000], [0.375, 0.375, 0.750], [0.625, 0.125, 0.250]],
  "final_energy_ev_per_atom": -4.158,
  "crystal_system": "tetragonal",
  "m_tot_mub_per_fu": 0.00
}